1.
A relaxed NdAsPd4 crystal, computed with PBE-GGA.

Its uncorrected energy is -5.4700 eV/atom. Its calculated density is 9.6 Mg/m³.

It has space group F-43m (No. 216), with a = 7.6325 Å, b = 7.6325 Å, c = 7.6325 Å, α = 90.00°, β = 90.00° and γ = 90.00°. Symmetry generates all atoms from Nd at (0.0000, 0.0000, 0.0000), As at (0.2500, 0.2500, 0.7500) and Pd at (0.1250, 0.1250, 0.3750).



2.
A relaxed PrFe2I8 crystal, computed with PBE-GGA.

The energy relative to the elements, uncorrected comes out at -0.595 eV/atom. Its calculated density is 3.8 Mg/m³.

It has space group C2/m (No. 12), with a = 13.3738 Å, b = 11.6517 Å, c = 7.0841 Å, α = 90.00°, β = 93.42° and γ = 90.00°. Symmetry generates all atoms from Pr at (0.0000, 0.0000, 0.0000), Fe at (0.1964, 0.0000, 0.6510), I at (0.1037, 0.1857, 0.7574), I at (0.1250, 0.5000, 0.2237) and I at (0.1969, 0.0000, 0.2809).



3.
A relaxed La2CdInRu crystal, computed with PBE-GGA.

Its uncorrected energy is -4.7962 eV/atom. Its calculated density is 6.7 Mg/m³.

It has space group P4/mmm (No. 123), with a = 5.3086 Å, b = 5.3086 Å, c = 5.3677 Å, α = 90.00°, β = 90.00° and γ = 90.00°. Symmetry generates all atoms from La at (0.0000, 0.5000, 0.0000), Cd at (0.0000, 0.0000, 0.5000), In at (0.5000, 0.5000, 0.5000) and Ru at (0.0000, 0.0000, 0.0000).